Entry 1:
## TaMn2GeN (PBE-GGA)

Data for TaMn2GeN after structural relaxation.

extended XYZ file:
```
5
Lattice="-2.8320 -1.8532 1.8304 2.2965 -3.6094 -0.1012 1.5877 0.9153 3.3832" Properties=species:S:1:pos:R:3 pbc="T T T"
Mn 0.7938 0.4577 1.6916
Mn -1.4160 -0.9266 0.9152
N 0.0000 0.0000 0.0000
Ta 1.1483 -1.8047 -0.0506
Ge 0.5261 -2.2737 2.5562
```

total moment = 3.438 μB/f.u.
density of states at the Fermi level = 0.77 states/eV per atom
E_tot = -8.92 eV/atom

Entry 2:
## MnB2P (PBE-GGA)

Data for MnB2P after structural relaxation.

extended XYZ file:
```
8
Lattice="4.6826 0.0000 0.0000 0.0000 4.6826 0.0000 2.3413 2.3413 4.4412" Properties=species:S:1:pos:R:3 pbc="T T T"
B 3.5119 3.5993 3.3309
B 1.2580 3.5119 1.1103
B 5.8532 5.7658 3.3309
B 3.4246 1.1706 1.1103
P 2.3413 2.3413 0.0000
P 2.3413 4.6826 2.2206
Mn 4.6826 2.3413 2.2206
Mn 0.0000 0.0000 0.0000
```

total moment = 2.000 μB/f.u.
DFT formation energy = 1.7 eV/f.u.
density of states at the Fermi level = 0.07 states/eV per atom

Entry 3:
## ErTmMg6 (PBE-GGA)

Data for ErTmMg6 after structural relaxation.

extended XYZ file:
```
8
Lattice="-3.6928 2.4245 -2.4574 -3.7258 -5.3349 0.3353 -0.8652 3.8997 5.1477" Properties=species:S:1:pos:R:3 pbc="T T T"
Er -1.2137 2.7747 4.5614
Tm -3.7936 1.6190 2.0987
Mg -2.5259 -1.4614 2.3539
Mg -5.3407 -3.3753 -0.5040
Mg -3.5755 -0.5724 -0.3911
Mg -5.5617 -1.1933 1.9809
Mg -3.1703 0.2531 5.0137
Mg -0.5673 1.0668 1.9050
```

total moment = 0.000 μB/f.u.
DFT formation energy = -0.5 eV/f.u.
density of states at the Fermi level = 0.56 states/eV per atom

Entry 4:
## ScCoRu2 (PBE-GGA)

Data for ScCoRu2 after structural relaxation.

extended XYZ file:
```
4
Lattice="-0.6322 -4.2111 0.9862 -0.3228 -2.9678 -3.1928 3.2131 -2.8970 -0.6240" Properties=species:S:1:pos:R:3 pbc="T T T"
Co 1.1290 -5.0379 -1.4153
Ru 0.0000 0.0000 0.0000
Ru 1.6936 -7.5569 -2.1230
Sc 0.5645 -2.5190 -0.7077
```

total moment = 3.191 μB/f.u.
DFT formation energy = -0.1 eV/f.u.
ΔE to the lowest computed polymorph = 0.051 eV/atom
density of states at the Fermi level = 1.21 states/eV per atom

Entry 5:
## SrPIr3 (PBE-GGA)

Data for SrPIr3 after structural relaxation.

extended XYZ file:
```
5
Lattice="4.5377 0.0000 0.0000 0.0000 4.5377 0.0000 0.0000 0.0000 4.5377" Properties=species:S:1:pos:R:3 pbc="T T T"
Ir 0.0000 2.2689 0.0000
Ir 2.2689 0.0000 0.0000
Ir 0.0000 0.0000 2.2689
Sr 2.2689 2.2689 2.2689
P 0.0000 0.0000 0.0000
```

total moment = 0.000 μB/f.u.
DFT formation energy = -0.2 eV/f.u.
ΔE to the lowest computed polymorph = 0.000 eV/atom
density of states at the Fermi level = 0.16 states/eV per atom

Entry 6:
## Pm6NdTm2 (PBE-GGA)

Data for Pm6NdTm2 after structural relaxation.

extended XYZ file:
```
9
Lattice="-0.0275 -0.4684 6.1226 -5.4502 -5.2419 -0.4252 1.8285 -7.3290 -0.5521" Properties=species:S:1:pos:R:3 pbc="T T T"
Pm -0.5808 -8.0646 1.1564
Pm 0.0937 -5.8815 3.9337
Pm -3.7429 -7.1579 1.2116
Pm -3.0684 -4.9748 3.9889
Pm -0.7021 -2.7029 4.1788
Pm -2.9471 -10.3366 0.9665
Tm -2.4352 -8.7439 4.1286
Tm -1.2140 -4.2955 1.0168
Nd 0.0000 0.0000 0.0000
```

total moment = 0.990 μB/f.u.
DFT formation energy = 1.9 eV/f.u.
ΔE to the lowest computed polymorph = 0.190 eV/atom
density of states at the Fermi level = 1.51 states/eV per atom

Entry 7:
## CeMgZn2Cu2 (PBE-GGA)

Data for CeMgZn2Cu2 after structural relaxation.

extended XYZ file:
```
6
Lattice="-3.5033 -0.0880 2.5831 2.7852 -3.3460 -0.0053 3.5184 2.9210 4.8713" Properties=species:S:1:pos:R:3 pbc="T T T"
Zn 1.0747 0.8864 5.1564
Zn 1.7257 -1.3994 2.2927
Cu 3.1808 -0.1913 4.3074
Cu -0.3805 -0.3217 3.1417
Ce 0.0000 0.0000 0.0000
Mg 1.7592 1.4605 2.4357
```

total moment = 0.974 μB/f.u.
DFT formation energy = -1.0 eV/f.u.
density of states at the Fermi level = 1.36 states/eV per atom

Entry 8:
## Pu2UTc2Ge2 (PBE-GGA)

Data for Pu2UTc2Ge2 after structural relaxation.

extended XYZ file:
```
7
Lattice="-0.6397 0.8970 4.6383 -4.5008 -1.5380 -0.3233 4.7693 -6.4539 -0.5441" Properties=species:S:1:pos:R:3 pbc="T T T"
Ge 1.7398 -5.3597 1.2764
Ge -2.1110 -1.7352 2.4944
Pu 0.8335 -2.5678 0.6115
Pu -1.2047 -4.5272 3.1593
Tc -0.3198 0.4485 2.3191
Tc -2.2504 -0.7690 -0.1617
U 0.0000 0.0000 0.0000
```

total moment = 12.804 μB/f.u.
DFT formation energy = 2.8 eV/f.u.
density of states at the Fermi level = 2.95 states/eV per atom

Entry 9:
## SrIn3 (PBE-GGA)

Data for SrIn3 after structural relaxation.

extended XYZ file:
```
4
Lattice="-4.3584 -2.9398 -1.2206 1.1752 -2.5977 2.0602 -3.0526 2.4996 4.8797" Properties=species:S:1:pos:R:3 pbc="T T T"
In -0.6364 -0.7063 3.9737
In -3.5872 -1.5435 4.5946
In 0.8730 -1.9405 1.5565
Sr -2.6486 -1.4944 1.1247
```

total moment = 0.000 μB/f.u.
DFT formation energy = -0.9 eV/f.u.
density of states at the Fermi level = 0.62 states/eV per atom

Entry 10:
## YTiFe2 (PBE-GGA)

Data for YTiFe2 after structural relaxation.

extended XYZ file:
```
4
Lattice="4.3158 -1.0745 0.0844 2.1955 -0.0856 3.8678 1.2911 -3.8854 1.7391" Properties=species:S:1:pos:R:3 pbc="T T T"
Fe 1.9506 -1.2614 1.4228
Fe 5.8518 -3.7841 4.2685
Ti 0.0000 0.0000 0.0000
Y 3.9012 -2.5227 2.8457
```

total moment = 0.571 μB/f.u.
DFT formation energy = 0.3 eV/f.u.
ΔE to the lowest computed polymorph = 0.000 eV/atom
density of states at the Fermi level = 0.95 states/eV per atom

Entry 11:
## TmLuMnCu (PBE-GGA)

Data for TmLuMnCu after structural relaxation.

extended XYZ file:
```
4
Lattice="-2.2841 1.2922 4.0974 -4.7686 0.9651 -0.0735 -3.1355 -3.0660 2.1082" Properties=species:S:1:pos:R:3 pbc="T T T"
Mn -7.6411 -0.6065 4.5991
Tm -5.0941 -0.4043 3.0661
Lu 0.0000 0.0000 0.0000
Cu -2.5470 -0.2022 1.5330
```

total moment = 3.347 μB/f.u.
DFT formation energy = 0.0 eV/f.u.
density of states at the Fermi level = 1.17 states/eV per atom

Entry 12:
## Rb3Pr2YTe6 (PBE-GGA)

Data for Rb3Pr2YTe6 after structural relaxation.

extended XYZ file:
```
12
Lattice="8.0204 -0.0016 -0.0003 -4.0097 6.9462 -0.0003 -1.3380 -2.3167 8.5701" Properties=species:S:1:pos:R:3 pbc="T T T"
Rb -2.6443 4.6130 4.2847
Rb 5.3171 0.0149 4.2847
Rb 1.3364 2.3140 4.2847
Te 3.9760 2.3722 6.8228
Te -1.3032 2.2557 1.7465
Te 2.6051 -0.0015 1.7465
Te 2.7088 4.6902 1.7531
Te -0.0360 -0.0623 6.8162
Te 0.0677 4.6294 6.8228
Pr 0.0043 4.6280 -0.0003
Pr 4.0065 2.3166 -0.0003
Y 0.0000 0.0000 0.0000
```

total moment = 0.000 μB/f.u.
E_tot = -4.55 eV/atom

Entry 13:
## Pm4SmGa (PBE-GGA)

Data for Pm4SmGa after structural relaxation.

extended XYZ file:
```
6
Lattice="-3.2068 0.7629 1.8372 -4.8389 -2.5340 -3.5150 0.7821 -8.6309 1.0858" Properties=species:S:1:pos:R:3 pbc="T T T"
Sm -3.2302 -9.4926 0.2567
Pm -1.5577 -6.4467 1.9209
Pm -2.4457 -3.9865 -0.6630
Pm -4.7990 -6.3691 0.0878
Pm -5.6971 -3.9065 -2.4887
Ga -4.4410 -6.8249 -2.9638
```

total moment = 0.000 μB/f.u.
DFT formation energy = -0.9 eV/f.u.
ΔE to the lowest computed polymorph = 0.008 eV/atom
density of states at the Fermi level = 1.16 states/eV per atom

Entry 14:
## KSbI2O (PBE-GGA)

Data for KSbI2O after structural relaxation.

extended XYZ file:
```
5
Lattice="6.2306 0.0000 0.0000 0.0000 6.2306 0.0000 0.0000 0.0000 6.5672" Properties=species:S:1:pos:R:3 pbc="T T T"
K 0.0000 0.0000 0.0000
I 0.0000 3.1153 0.0000
I 3.1153 0.0000 0.0000
O 3.1153 3.1153 3.2836
Sb 0.0000 0.0000 3.2836
```

total moment = 0.063 μB/f.u.
ΔE to the lowest computed polymorph = 1.995 eV/atom
density of states at the Fermi level = 5.14 states/eV per atom

Entry 15:
## PrNdCo2 (PBE-GGA)

Data for PrNdCo2 after structural relaxation.

extended XYZ file:
```
4
Lattice="-1.0003 -0.2185 3.3316 2.3196 -4.3255 0.4128 4.1087 2.3358 1.3868" Properties=species:S:1:pos:R:3 pbc="T T T"
Nd -0.5002 -0.1092 1.6658
Co 1.1598 -2.1627 0.2064
Co 2.0544 1.1679 0.6934
Pr 2.7140 -1.1041 2.5656
```

total moment = 0.878 μB/f.u.
DFT formation energy = 0.3 eV/f.u.
ΔE to the lowest computed polymorph = 0.122 eV/atom
density of states at the Fermi level = 0.51 states/eV per atom

Entry 16:
## FeSiPd (PBE-GGA)

Data for FeSiPd after structural relaxation.

extended XYZ file:
```
12
Lattice="-2.5331 -2.1909 -5.5838 2.7926 -0.6380 -1.0165 0.1863 -6.8424 4.8062" Properties=species:S:1:pos:R:3 pbc="T T T"
Si 0.9208 -4.9024 1.0622
Si -0.5686 -1.1622 -0.8327
Si -0.4750 -4.7689 -2.8562
Si -1.7781 -7.8711 0.0551
Fe -0.0478 -2.6109 1.5074
Fe 1.4417 -6.3510 3.4023
Fe -2.2990 -6.4224 -2.2850
Fe -0.9959 -3.3202 -5.1964
Pd 0.5149 -3.4386 -0.9717
Pd -0.7882 -6.5408 1.9397
Pd -1.5585 -2.4925 -2.7172
Pd -0.0691 -6.2327 -0.8224
```

total moment = 2.227 μB/f.u.
density of states at the Fermi level = 0.61 states/eV per atom
E_tot = -6.72 eV/atom

Entry 17:
## Ta2NbPdO (PBE-GGA)

Data for Ta2NbPdO after structural relaxation.

extended XYZ file:
```
5
Lattice="4.1841 0.0000 0.0000 0.0000 4.4363 0.0000 0.0000 0.0000 4.1841" Properties=species:S:1:pos:R:3 pbc="T T T"
O 0.0000 0.0000 0.0000
Pd 0.0000 2.2182 0.0000
Nb 2.0920 2.2182 2.0920
Ta 0.0000 0.0000 2.0920
Ta 2.0920 0.0000 0.0000
```

total moment = 0.000 μB/f.u.
ΔE to the lowest computed polymorph = 0.160 eV/atom
density of states at the Fermi level = 0.58 states/eV per atom

Entry 18:
## B5C7 (PBE-GGA)

Data for B5C7 after structural relaxation.

extended XYZ file:
```
12
Lattice="-1.1815 -2.2261 0.4541 1.9906 0.0883 -1.6085 8.6427 -2.4325 10.5622" Properties=species:S:1:pos:R:3 pbc="T T T"
C 1.3622 -0.8039 -0.3967
C 4.0717 -1.1460 4.9760
C 3.1424 -0.8844 3.8402
C 1.7414 -1.9797 2.0463
C 0.0933 -0.0263 0.1140
C 2.6712 -2.2414 3.1826
C 7.8025 -2.1961 9.5353
B 2.3628 -1.0855 0.8260
B 6.1697 -3.2261 7.4581
B 6.5126 -2.2535 5.8975
B 7.2271 -3.5237 8.7504
B 5.4540 -1.9556 4.6038
```

total moment = 0.000 μB/f.u.
DFT formation energy = 5.4 eV/f.u.
ΔE to the lowest computed polymorph = 0.189 eV/atom
density of states at the Fermi level = 0.26 states/eV per atom

Entry 19:
## HfAl2Tl (PBE-GGA)

Data for HfAl2Tl after structural relaxation.

extended XYZ file:
```
4
Lattice="-1.2263 -2.4436 4.0897 -3.2855 1.9174 3.1192 -4.4676 -2.0175 0.4137" Properties=species:S:1:pos:R:3 pbc="T T T"
Al -6.7346 -1.9077 5.7169
Al -2.2449 -0.6359 1.9056
Hf 0.0000 0.0000 0.0000
Tl -4.4897 -1.2718 3.8113
```

total moment = 0.000 μB/f.u.
DFT formation energy = 1.4 eV/f.u.
ΔE to the lowest computed polymorph = 0.003 eV/atom
density of states at the Fermi level = 1.10 states/eV per atom

Entry 20:
## Ba2Na16Ag (PBE-GGA)

Data for Ba2Na16Ag after structural relaxation.

extended XYZ file:
```
19
Lattice="-8.7053 1.9559 1.7603 -3.3360 -8.3920 -1.0739 0.0006 -2.4021 8.7714" Properties=species:S:1:pos:R:3 pbc="T T T"
Ag -10.5629 -7.7534 8.2970
Na -4.2282 -4.3108 7.7288
Na -0.9011 -0.6615 0.7078
Na -5.9048 -7.3205 2.7818
Na -3.5080 -6.7560 5.2992
Na -7.1369 -1.1296 0.9285
Na -8.6027 -2.1210 4.2059
Na -4.9537 -5.3370 -0.2239
Na -2.3605 -6.6351 1.8645
Na -2.6032 -1.1174 6.7118
Na -7.8934 -9.6672 8.5566
Na -7.8695 -4.5727 1.7868
Na -11.9338 -7.6447 5.3028
Na -6.1979 -1.5720 6.7191
Na -1.0038 -4.1997 5.8675
Na -6.1430 0.6546 3.8611
Na -10.3853 -4.8649 9.8720
Ba -8.1088 -5.9521 6.3693
Ba -4.0896 -3.0019 3.2123
```

total moment = 0.000 μB/f.u.
DFT formation energy = 0.5 eV/f.u.
density of states at the Fermi level = 0.59 states/eV per atom

Entry 21:
## Hf3NbSb2 (PBE-GGA)

Data for Hf3NbSb2 after structural relaxation.

extended XYZ file:
```
12
Lattice="5.8353 0.0000 0.0000 0.0000 7.1108 0.0002 -2.9176 -1.7724 6.3602" Properties=species:S:1:pos:R:3 pbc="T T T"
Hf 0.0146 3.5608 2.2948
Hf 2.9323 5.3330 4.0657
Hf 1.3355 1.7777 0.0000
Hf -0.0146 0.0054 2.2947
Hf 2.9030 1.7776 4.0656
Hf 4.4998 5.3331 0.0001
Nb 4.4488 1.7777 0.0000
Nb 1.3865 5.3331 0.0001
Sb 2.9259 3.5555 1.7539
Sb 2.9094 0.0001 1.7538
Sb 0.0082 5.3383 4.6065
Sb -0.0082 1.7829 4.6064
```

total moment = 0.000 μB/f.u.
density of states at the Fermi level = 0.65 states/eV per atom
E_tot = -8.34 eV/atom

Entry 22:
## TiTlHgMo2 (PBE-GGA)

Data for TiTlHgMo2 after structural relaxation.

extended XYZ file:
```
5
Lattice="5.0734 0.0000 0.0000 0.0000 5.0178 0.0000 0.0000 0.0000 5.0734" Properties=species:S:1:pos:R:3 pbc="T T T"
Mo 2.5367 0.0000 0.0000
Mo 0.0000 0.0000 2.5367
Hg 0.0000 2.5089 0.0000
Tl 0.0000 0.0000 0.0000
Ti 2.5367 2.5089 2.5367
```

total moment = 0.608 μB/f.u.
DFT formation energy = 11.5 eV/f.u.
density of states at the Fermi level = 1.43 states/eV per atom

Entry 23:
## CaCoAs2Rh (PBE-GGA)

Data for CaCoAs2Rh after structural relaxation.

extended XYZ file:
```
5
Lattice="-3.9884 1.0655 -0.1974 -0.9063 -3.6925 -1.6204 1.7033 -0.5906 5.6643" Properties=species:S:1:pos:R:3 pbc="T T T"
Rh -0.8252 -2.7983 1.5675
As -0.5522 -1.4131 3.5289
As -2.6392 -1.8046 0.3176
Co -2.3662 -0.4193 2.2790
Ca 0.0000 0.0000 0.0000
```

total moment = 1.179 μB/f.u.
DFT formation energy = -3.3 eV/f.u.
density of states at the Fermi level = 0.56 states/eV per atom

Entry 24:
## LaReHRh (PBE-GGA)

Data for LaReHRh after structural relaxation.

extended XYZ file:
```
8
Lattice="-2.6700 1.1958 0.6084 -0.7111 -0.0956 -2.9326 -5.2142 -12.4928 1.6717" Properties=species:S:1:pos:R:3 pbc="T T T"
La -4.1466 -9.9349 1.3294
La -3.2300 -3.1384 -0.6685
Rh -6.7752 -11.6323 0.4681
Rh -2.4775 -5.9359 0.7943
H -4.8001 -7.7043 1.4152
H -1.2136 -2.1036 -1.1912
Re -0.4680 -1.1213 0.1500
Re -4.7656 -6.8176 -0.1762
```

total moment = 0.000 μB/f.u.
ΔE to the lowest computed polymorph = 0.130 eV/atom
density of states at the Fermi level = 0.66 states/eV per atom

Entry 25:
## SrCr3Ag (PBE-GGA)

Data for SrCr3Ag after structural relaxation.

extended XYZ file:
```
5
Lattice="-0.2800 -5.3886 -0.2893 4.9911 -0.3688 2.0376 -2.0517 -0.1616 4.9964" Properties=species:S:1:pos:R:3 pbc="T T T"
Cr 2.4956 -0.1844 1.0188
Cr -1.0258 -0.0808 2.4982
Cr -0.1400 -2.6943 -0.1447
Ag 1.3297 -2.9595 3.3723
Sr 0.0000 0.0000 0.0000
```

total moment = 14.380 μB/f.u.
DFT formation energy = 11.7 eV/f.u.
ΔE to the lowest computed polymorph = 1.219 eV/atom
density of states at the Fermi level = 1.46 states/eV per atom

Entry 26:
## PmBiRh (PBE-GGA)

Data for PmBiRh after structural relaxation.

extended XYZ file:
```
3
Lattice="4.7927 0.0000 0.0000 2.3963 4.1506 0.0000 2.3963 1.3835 3.9132" Properties=species:S:1:pos:R:3 pbc="T T T"
Rh 2.3963 1.3835 0.9783
Bi 0.0000 0.0000 0.0000
Pm 4.7927 2.7670 1.9566
```

total moment = 0.000 μB/f.u.
DFT formation energy = -2.1 eV/f.u.
ΔE to the lowest computed polymorph = 0.000 eV/atom
density of states at the Fermi level = 1.85 states/eV per atom